1.
The following is a PBE calculation of a relaxed InAs2 crystal, from the Alexandria database.

Cell lengths 5.9780, 5.9780, 5.9780 Å; angles 143.38, 143.34, 52.79 degrees
Fractional coordinates of all 3 atoms:
1 As 0.3824 0.3824 0.0000
2 In 0.0000 0.0000 0.0000
3 As 0.6176 0.6176 0.0000

The calculation puts the mass density at 5.8 g/cm³. For the total energy, the calculation gives -3.792 eV per atom. The density of states at the Fermi level comes out at 0.296 states/eV/atom. The magnetic moment comes out at 0.0 μB per cell. As for the symmetry: I4/mmm (139).

2.
The following is a PBE calculation of a relaxed In2As crystal, from the Alexandria database.

Cell lengths 8.9537, 8.9537, 5.0996 Å; angles 90.00, 90.00, 158.54 degrees
Fractional coordinates of all 6 atoms:
1 In 0.5601 0.4399 0.2500
2 In 0.1322 0.8678 0.7500
3 As 0.2254 0.7746 0.2500
4 In 0.4399 0.5601 0.7500
5 In 0.8678 0.1322 0.2500
6 As 0.7746 0.2254 0.7500

The calculation puts the mass density at 6.8 g/cm³. For the total energy, the calculation gives -3.240 eV per atom. The density of states at the Fermi level comes out at 0.375 states/eV/atom. The magnetic moment comes out at 0.0 μB per cell. As for the symmetry: Cmcm (63).

3.
The following is a PBE calculation of a relaxed InAs3 crystal, from the Alexandria database.

Cell lengths 5.5529, 5.5529, 5.5529 Å; angles 90.00, 90.00, 90.00 degrees
Fractional coordinates of all 8 atoms:
1 As 0.5000 0.0000 0.2500
2 As 0.7500 0.5000 0.0000
3 As 0.0000 0.2500 0.5000
4 As 0.0000 0.7500 0.5000
5 As 0.5000 0.0000 0.7500
6 As 0.2500 0.5000 0.0000
7 In 0.5000 0.5000 0.5000
8 In 0.0000 0.0000 0.0000

The calculation puts the mass density at 6.6 g/cm³. For the total energy, the calculation gives -3.692 eV per atom. The density of states at the Fermi level comes out at 1.101 states/eV/atom. The magnetic moment comes out at 0.0 μB per cell. As for the symmetry: Pm-3n (223).

Number 1: ΔE_f 221 meV/atom. Number 2: ΔE_f 136 meV/atom. Number 3: ΔE_f 480 meV/atom.